BaReAu2 | PBE | optimized geometry

The structure in POSCAR format:
```
BaReAu2
1.0
-1.898 2.830 4.788
1.898 -2.830 4.788
1.898 2.830 -4.788
Ba Re Au
1 1 2
direct
0.000 0.000 0.000 Ba
0.500 0.500 0.000 Re
0.306 0.806 0.500 Au
0.694 0.194 0.500 Au
```

Calculated values
Magnetization (μB per formula unit): 1.775
Offset from the most stable computed form (meV/atom): 416
V (Å³ per atom): 25.72
SG: Immm